Pm3Sm3PuTe8 | PBE-GGA | optimized geometry

Structure (extended XYZ):
```
15
Lattice="8.882 0.000 0.000 -4.441 7.692 -0.026 0.000 -5.103 7.276" Properties=species:S:1:pos:R:3 pbc="T T T"
Sm 2.220 1.294 3.625
Sm 4.441 -2.552 3.638
Sm -2.221 1.294 3.625
Pm -2.221 3.846 -0.013
Pm 2.220 3.846 -0.013
Pm 0.000 0.000 0.000
Te 6.616 -1.250 1.794
Te 2.267 -1.249 1.794
Te 2.174 3.838 5.455
Te 0.000 0.072 5.468
Te 4.441 2.517 1.781
Te 0.000 2.570 1.819
Te 4.441 0.018 5.431
Te -2.175 3.838 5.455
Pu 0.000 -2.552 3.638
```

Values from the calculation:
Space-group type: R-3m, No. 166
Final energy, eV per atom: -5.91



HgW5 | PBE-GGA | optimized geometry

Structure (extended XYZ):
```
6
Lattice="1.410 -2.442 0.000 1.410 2.442 0.000 0.000 0.000 14.903" Properties=species:S:1:pos:R:3 pbc="T T T"
W 0.000 0.000 9.889
W 1.410 -0.814 2.605
W 0.000 0.000 5.014
W 1.410 -0.814 12.298
W 1.410 -0.814 7.452
Hg 0.000 0.000 0.000
```

Values from the calculation:
Energy above the most stable polymorph in this dataset, meV/atom: 26
Space-group type: P-6m2, No. 187
E_form, eV per atom: 0.614



Th6Sn3Os | PBE-GGA | optimized geometry

Structure (extended XYZ):
```
20
Lattice="8.481 0.494 0.505 0.309 8.490 0.505 0.309 0.316 8.499" Properties=species:S:1:pos:R:3 pbc="T T T"
Th 1.816 4.577 4.666
Th 6.925 1.658 7.118
Th 4.578 7.385 4.829
Th 7.592 2.338 2.393
Th 2.175 7.641 2.390
Th 2.172 2.223 7.693
Th 4.522 1.915 4.680
Th 4.537 4.622 2.018
Th 4.563 4.678 7.490
Th 7.284 4.723 4.843
Th 1.508 6.962 7.116
Th 6.928 7.077 1.816
Os 0.000 0.000 0.000
Os 4.550 4.650 4.754
Sn 4.432 1.337 1.379
Sn 1.240 1.279 4.489
Sn 7.848 4.840 8.142
Sn 7.860 8.020 5.019
Sn 1.252 4.460 1.367
Sn 4.668 7.963 8.130
```

Values from the calculation:
Space-group type: R-3, No. 148
E_form, eV per atom: -0.278



The evaluated magnetization for the records listed, in turn: 0.416; 0.000; 0.000 μB/atom.